[1]
# NbInNiPt | the Alexandria database | PBE-GGA | relaxed
# Energy (eV/cell): -25.77
# Calculated volume (Å³/cell): 65.8
data_NbInNiPt
_cell_length_a 4.531
_cell_length_b 4.531
_cell_length_c 4.531
_cell_angle_alpha 60.00
_cell_angle_beta 60.00
_cell_angle_gamma 60.00
_space_group_name_H-M_alt 'P 1'
_space_group_IT_number 1
loop_
_space_group_symop_operation_xyz
'x,y,z'
loop_
_atom_site_label
_atom_site_fract_x
_atom_site_fract_y
_atom_site_fract_z
Ni1 0.250 0.250 0.250
Pt1 0.750 0.750 0.750
In1 0.000 0.000 0.000
Nb1 0.500 0.500 0.500

***

[2]
# TlCu2SiF8 | the Alexandria database | PBE-GGA | relaxed
# Raw formation energy (eV/atom): -2.155
# Energy (eV/cell): -56.81
# Calculated volume (Å³/cell): 169.4
data_TlCu2SiF8
_cell_length_a 5.032
_cell_length_b 4.919
_cell_length_c 7.631
_cell_angle_alpha 100.76
_cell_angle_beta 73.34
_cell_angle_gamma 109.76
_space_group_name_H-M_alt 'P 1'
_space_group_IT_number 1
loop_
_space_group_symop_operation_xyz
'x,y,z'
loop_
_atom_site_label
_atom_site_fract_x
_atom_site_fract_y
_atom_site_fract_z
F1 0.071 0.251 0.851
F2 0.929 0.749 0.149
Cu1 0.536 0.393 0.287
Cu2 0.464 0.607 0.713
F3 0.650 0.355 0.523
F4 0.797 0.738 0.866
F5 0.690 0.088 0.126
F6 0.310 0.912 0.874
F7 0.203 0.262 0.134
Si1 0.000 0.000 0.000
Tl1 0.000 0.000 0.500
F8 0.350 0.645 0.477

***

[3]
# TaAs2Os | the Alexandria database | PBE-GGA | relaxed
# Excess energy over the best structure of this formula in the dataset (meV/atom): 244.2
# Energy (eV/cell): -31.84
# Calculated volume (Å³/cell): 62.4
data_TaAs2Os
_cell_length_a 4.453
_cell_length_b 4.453
_cell_length_c 4.453
_cell_angle_alpha 60.00
_cell_angle_beta 60.00
_cell_angle_gamma 60.00
_space_group_name_H-M_alt 'P 1'
_space_group_IT_number 1
loop_
_space_group_symop_operation_xyz
'x,y,z'
loop_
_atom_site_label
_atom_site_fract_x
_atom_site_fract_y
_atom_site_fract_z
Ta1 0.000 0.000 0.000
Os1 0.500 0.500 0.500
As1 0.250 0.250 0.250
As2 0.750 0.750 0.750

***

[4]
# TbErH | the Alexandria database | PBE-GGA | relaxed
# Excess energy over the best structure of this formula in the dataset (meV/atom): 200.6
# Energy (eV/cell): -25.34
# Calculated volume (Å³/cell): 127.1
data_TbErH
_cell_length_a 5.903
_cell_length_b 3.310
_cell_length_c 6.713
_cell_angle_alpha 104.27
_cell_angle_beta 88.50
_cell_angle_gamma 90.00
_space_group_name_H-M_alt 'P 1'
_space_group_IT_number 1
loop_
_space_group_symop_operation_xyz
'x,y,z'
loop_
_atom_site_label
_atom_site_fract_x
_atom_site_fract_y
_atom_site_fract_z
H1 0.410 0.578 0.157
Tb1 0.729 0.070 0.139
H2 0.590 0.422 0.843
Er1 0.231 0.193 0.386
Er2 0.769 0.807 0.614
Tb2 0.271 0.930 0.861

***

[5]
# CaAlHg2 | the Alexandria database | PBE-GGA | relaxed
# Energy (eV/cell): -30.12
# Calculated volume (Å³/cell): 394.2
data_CaAlHg2
_cell_length_a 4.688
_cell_length_b 9.681
_cell_length_c 8.996
_cell_angle_alpha 90.00
_cell_angle_beta 105.10
_cell_angle_gamma 90.00
_space_group_name_H-M_alt 'P 1'
_space_group_IT_number 1
loop_
_space_group_symop_operation_xyz
'x,y,z'
loop_
_atom_site_label
_atom_site_fract_x
_atom_site_fract_y
_atom_site_fract_z
Hg1 0.905 0.250 0.810
Ca1 0.704 0.250 0.408
Ca2 0.500 0.000 0.000
Hg2 0.692 0.908 0.383
Hg3 0.932 0.750 0.864
Al1 0.148 0.482 0.295
Hg4 0.095 0.750 0.190
Ca3 0.500 0.500 0.000
Hg5 0.692 0.592 0.383
Hg6 0.308 0.408 0.617
Al2 0.148 0.018 0.295
Ca4 0.296 0.750 0.592
Al3 0.852 0.982 0.705
Hg7 0.068 0.250 0.136
Al4 0.852 0.518 0.705
Hg8 0.308 0.092 0.617

***

[6]
# CePrCdPb | the Alexandria database | PBE-GGA | relaxed
# Excess energy over the best structure of this formula in the dataset (meV/atom): 5.0
# Energy (eV/cell): -16.71
# Calculated volume (Å³/cell): 118.8
data_CePrCdPb
_cell_length_a 5.518
_cell_length_b 5.518
_cell_length_c 5.518
_cell_angle_alpha 60.00
_cell_angle_beta 60.00
_cell_angle_gamma 60.00
_space_group_name_H-M_alt 'P 1'
_space_group_IT_number 1
loop_
_space_group_symop_operation_xyz
'x,y,z'
loop_
_atom_site_label
_atom_site_fract_x
_atom_site_fract_y
_atom_site_fract_z
Pb1 0.500 0.500 0.500
Pr1 0.750 0.750 0.750
Ce1 0.250 0.250 0.250
Cd1 0.000 0.000 0.000

***

[7]
# PdI3Cl | the Alexandria database | PBE-GGA | relaxed
# Raw formation energy (eV/atom): 0.799
# Excess energy over the best structure of this formula in the dataset (meV/atom): 956.5
# Energy (eV/cell): -7.69
# Calculated volume (Å³/cell): 182.9
data_PdI3Cl
_cell_length_a 5.676
_cell_length_b 5.676
_cell_length_c 5.676
_cell_angle_alpha 90.00
_cell_angle_beta 90.00
_cell_angle_gamma 90.00
_space_group_name_H-M_alt 'P 1'
_space_group_IT_number 1
loop_
_space_group_symop_operation_xyz
'x,y,z'
loop_
_atom_site_label
_atom_site_fract_x
_atom_site_fract_y
_atom_site_fract_z
I1 0.000 0.000 0.500
Cl1 0.000 0.000 0.000
Pd1 0.500 0.500 0.500
I2 0.500 0.000 0.000
I3 0.000 0.500 0.000

***

[8]
# NdZn3Ir3 | the Alexandria database | PBE-GGA | relaxed
# Energy (eV/cell): -63.90
# Calculated volume (Å³/cell): 306.1
data_NdZn3Ir3
_cell_length_a 6.739
_cell_length_b 6.739
_cell_length_c 6.739
_cell_angle_alpha 90.00
_cell_angle_beta 90.00
_cell_angle_gamma 90.00
_space_group_name_H-M_alt 'P 1'
_space_group_IT_number 1
loop_
_space_group_symop_operation_xyz
'x,y,z'
loop_
_atom_site_label
_atom_site_fract_x
_atom_site_fract_y
_atom_site_fract_z
Zn1 0.000 0.250 0.500
Zn2 0.500 0.000 0.750
Nd1 0.500 0.500 0.500
Ir1 0.750 0.000 0.500
Ir2 0.000 0.500 0.250
Zn3 0.250 0.500 0.000
Ir3 0.000 0.500 0.750
Zn4 0.500 0.000 0.250
Ir4 0.500 0.250 0.000
Nd2 0.000 0.000 0.000
Ir5 0.500 0.750 0.000
Zn5 0.000 0.750 0.500
Ir6 0.250 0.000 0.500
Zn6 0.750 0.500 0.000

***

[9]
# PrYPd4 | the Alexandria database | PBE-GGA | relaxed
# Excess energy over the best structure of this formula in the dataset (meV/atom): 51.4
# Energy (eV/cell): -36.64
# Calculated volume (Å³/cell): 117.9
data_PrYPd4
_cell_length_a 5.504
_cell_length_b 5.504
_cell_length_c 5.504
_cell_angle_alpha 60.00
_cell_angle_beta 60.00
_cell_angle_gamma 60.00
_space_group_name_H-M_alt 'P 1'
_space_group_IT_number 1
loop_
_space_group_symop_operation_xyz
'x,y,z'
loop_
_atom_site_label
_atom_site_fract_x
_atom_site_fract_y
_atom_site_fract_z
Pd1 0.625 0.126 0.625
Y1 0.250 0.250 0.250
Pr1 0.000 0.000 0.000
Pd2 0.126 0.625 0.625
Pd3 0.625 0.625 0.126
Pd4 0.625 0.625 0.625

***

[10]
# Ru2PtI | the Alexandria database | PBE-GGA | relaxed
# Raw formation energy (eV/atom): 1.070
# Excess energy over the best structure of this formula in the dataset (meV/atom): 277.3
# Energy (eV/cell): -43.73
# Calculated volume (Å³/cell): 190.1
data_Ru2PtI
_cell_length_a 5.456
_cell_length_b 5.456
_cell_length_c 7.462
_cell_angle_alpha 68.56
_cell_angle_beta 68.56
_cell_angle_gamma 90.00
_space_group_name_H-M_alt 'P 1'
_space_group_IT_number 1
loop_
_space_group_symop_operation_xyz
'x,y,z'
loop_
_atom_site_label
_atom_site_fract_x
_atom_site_fract_y
_atom_site_fract_z
Ru1 0.875 0.891 0.750
I1 0.500 0.500 0.000
Ru2 0.109 0.625 0.250
Ru3 0.641 0.125 0.250
Ru4 0.375 0.359 0.750
I2 0.250 0.750 0.500
Pt1 0.000 0.000 0.000
Pt2 0.750 0.250 0.500

***

[11]
# Cs2ThIO6 | the Alexandria database | PBE-GGA | relaxed
# Raw formation energy (eV/atom): -1.699
# Energy (eV/cell): -57.41
# Calculated volume (Å³/cell): 170.8
data_Cs2ThIO6
_cell_length_a 6.228
_cell_length_b 6.228
_cell_length_c 6.229
_cell_angle_alpha 59.99
_cell_angle_beta 59.99
_cell_angle_gamma 89.99
_space_group_name_H-M_alt 'P 1'
_space_group_IT_number 1
loop_
_space_group_symop_operation_xyz
'x,y,z'
loop_
_atom_site_label
_atom_site_fract_x
_atom_site_fract_y
_atom_site_fract_z
O1 0.735 0.735 0.000
O2 0.265 0.265 0.000
Cs1 0.250 0.750 0.500
Cs2 0.750 0.250 0.500
O3 0.265 0.265 0.469
O4 0.735 0.735 0.531
O5 0.265 0.735 0.000
Th1 0.000 0.000 0.000
I1 0.500 0.500 0.000
O6 0.735 0.265 0.000

***

[12]
# Y6Tm2Sc | the Alexandria database | PBE-GGA | relaxed
# Excess energy over the best structure of this formula in the dataset (meV/atom): 82.7
# Energy (eV/cell): -52.95
# Calculated volume (Å³/cell): 283.2
data_Y6Tm2Sc
_cell_length_a 3.475
_cell_length_b 8.590
_cell_length_c 9.982
_cell_angle_alpha 78.64
_cell_angle_beta 79.98
_cell_angle_gamma 78.33
_space_group_name_H-M_alt 'P 1'
_space_group_IT_number 1
loop_
_space_group_symop_operation_xyz
'x,y,z'
loop_
_atom_site_label
_atom_site_fract_x
_atom_site_fract_y
_atom_site_fract_z
Y1 0.049 0.653 0.249
Y2 0.776 0.340 0.108
Y3 0.951 0.347 0.751
Tm1 0.666 0.982 0.686
Sc1 0.000 0.000 0.000
Y4 0.616 0.325 0.443
Y5 0.224 0.660 0.892
Tm2 0.334 0.018 0.314
Y6 0.384 0.675 0.557